(1)
Ni5PH5 | Alexandria via LeMat-Bulk | PBE-GGA | optimized geometry; VASP energy = -4.690 eV/atom
1.0
4.1484 0.0000 0.0000
1.6261 4.0116 0.0000
1.1640 -0.3702 5.3759
Ni P H
5 1 5
Cartesian
0.0000 0.0000 0.0000
2.2952 1.5562 4.0807
2.5172 0.6586 1.7311
4.4212 2.9828 3.6448
4.6432 2.0852 1.2951
2.8872 2.0058 0.0000
0.9026 0.4832 1.3567
1.8021 0.2570 3.2048
3.4692 1.8207 2.6879
5.1363 3.3844 2.1711
6.0359 3.1582 4.0192

(2)
PaNiPH | Alexandria via LeMat-Bulk | PBE-GGA | optimized geometry; VASP energy = -6.940 eV/atom
1.0
3.9213 0.0000 0.0000
-1.9606 3.3959 0.0000
0.0000 0.0000 3.9158
Pa Ni P H
1 1 1 1
Cartesian
0.0000 0.0000 0.0000
1.9606 1.1320 1.9879
0.0000 2.2640 1.9301
1.9606 1.1320 3.8014

(3)
PuNi2PH | Alexandria via LeMat-Bulk | PBE-GGA | optimized geometry; VASP energy = -7.572 eV/atom
1.0
1.8639 -5.1067 0.0000
1.8639 5.1067 0.0000
0.0000 0.0000 6.5518
Pu Ni P H
2 4 2 2
Cartesian
1.8639 4.5941 4.9138
1.8639 -4.5941 1.6379
1.8639 1.7501 3.6643
1.8639 1.7501 6.1633
1.8639 -1.7501 0.3884
1.8639 -1.7501 2.8874
1.8639 2.7785 1.6379
1.8639 -2.7785 4.9138
1.8639 0.0000 0.0000
1.8639 0.0000 3.2759

(4)
PuNiPH2 | Alexandria via LeMat-Bulk | PBE-GGA | optimized geometry; VASP energy = -6.975 eV/atom
1.0
1.8767 -4.9537 0.0000
1.8767 4.9537 0.0000
0.0000 0.0000 5.9523
Pu Ni P H
2 2 2 4
Cartesian
1.8767 2.8299 4.4643
1.8767 -2.8299 1.4881
1.8767 0.0000 0.0000
1.8767 0.0000 2.9762
1.8767 4.3210 1.4881
1.8767 -4.3210 4.4643
1.8767 1.5780 0.3773
1.8767 1.5780 2.5989
1.8767 -1.5780 3.3535
1.8767 -1.5780 5.5750

(5)
ScNiPH | Alexandria via LeMat-Bulk | PBE-GGA | optimized geometry; VASP energy = -6.101 eV/atom
1.0
3.6770 0.0000 0.0000
0.0000 3.6770 0.0000
0.0000 0.0000 6.7211
Sc Ni P H
2 2 2 2
Cartesian
0.9192 0.9192 1.0338
2.7577 2.7577 5.6873
0.9192 2.7577 3.3606
2.7577 0.9192 3.3606
0.9192 0.9192 4.6826
2.7577 2.7577 2.0386
0.9192 2.7577 0.0000
2.7577 0.9192 0.0000

(6)
SiNiP2H | Alexandria via LeMat-Bulk | PBE-GGA | optimized geometry; VASP energy = -4.570 eV/atom
1.0
4.3411 0.0000 0.0000
0.0000 4.3411 0.0000
0.0000 0.0000 3.0942
Si Ni P H
1 1 2 1
Cartesian
0.0000 0.0000 0.0000
2.1705 2.1705 0.0000
0.0000 2.1705 1.5471
2.1705 0.0000 1.5471
2.1705 2.1705 1.5471

(7)
SmNiPH | Alexandria via LeMat-Bulk | PBE-GGA | optimized geometry; VASP energy = -5.760 eV/atom
1.0
3.8687 0.0000 0.0000
0.0000 3.8687 0.0000
0.0000 0.0000 7.5006
Sm Ni P H
2 2 2 2
Cartesian
0.9672 0.9672 1.3249
2.9015 2.9015 6.1757
0.9672 2.9015 3.7503
2.9015 0.9672 3.7503
0.9672 0.9672 4.9587
2.9015 2.9015 2.5419
0.9672 2.9015 0.0000
2.9015 0.9672 0.0000

(8)
Sr2Ni2P2H | Alexandria via LeMat-Bulk | PBE-GGA | optimized geometry; VASP energy = -4.885 eV/atom
1.0
5.4416 -1.9677 0.0000
5.4416 1.9677 0.0000
-4.0092 0.0000 5.7304
Sr Ni P H
2 2 2 1
Cartesian
-0.6639 0.0000 1.7494
7.5379 0.0000 3.9810
-0.3535 0.0000 5.2560
7.2275 0.0000 0.4744
2.3265 0.0000 1.3784
4.5474 0.0000 4.3520
5.4416 0.0000 0.0000

(9)
SrNi2PH | Alexandria via LeMat-Bulk | PBE-GGA | optimized geometry; VASP energy = -5.022 eV/atom
1.0
1.8809 -5.3923 0.0000
1.8809 5.3923 0.0000
0.0000 0.0000 6.6622
Sr Ni P H
2 4 2 2
Cartesian
1.8809 4.8677 4.9967
1.8809 -4.8677 1.6656
1.8809 1.9226 3.7350
1.8809 1.9226 6.2583
1.8809 -1.9226 0.4039
1.8809 -1.9226 2.9272
1.8809 2.9284 1.6656
1.8809 -2.9284 4.9967
1.8809 0.0000 0.0000
1.8809 0.0000 3.3311

(10)
TbNiPH | Alexandria via LeMat-Bulk | PBE-GGA | optimized geometry; VASP energy = -5.753 eV/atom
1.0
3.8299 0.0000 0.0000
0.0000 3.8299 0.0000
0.0000 0.0000 7.2638
Tb Ni P H
2 2 2 2
Cartesian
0.9575 0.9575 1.2488
2.8725 2.8725 6.0150
0.9575 2.8725 3.6319
2.8725 0.9575 3.6319
0.9575 0.9575 4.8660
2.8725 2.8725 2.3978
0.9575 2.8725 0.0000
2.8725 0.9575 0.0000

(11)
NiTePH2 | Alexandria via LeMat-Bulk | PBE-GGA | optimized geometry; VASP energy = -3.686 eV/atom
1.0
3.6235 0.0000 0.0000
0.0000 3.6235 0.0000
0.0000 0.0000 5.1956
Ni Te P H
1 1 1 2
Cartesian
0.0000 0.0000 0.0000
0.0000 0.0000 2.5978
1.8118 1.8118 0.0000
0.0000 1.8118 2.5978
1.8118 0.0000 2.5978

(12)
NiTe2PH | Alexandria via LeMat-Bulk | PBE-GGA | optimized geometry; VASP energy = -3.511 eV/atom
1.0
5.1609 0.0000 0.0000
0.0000 5.1609 0.0000
0.0000 0.0000 3.1898
Ni Te P H
1 2 1 1
Cartesian
0.0000 0.0000 0.0000
0.0000 2.5804 1.5949
2.5804 0.0000 1.5949
2.5804 2.5804 0.0000
2.5804 2.5804 1.5949